K2HfReC: relaxed, PBE-GGA.

Summary:
The density of states at the Fermi level comes out at 1.0321 states/eV/atom. The calculated volume comes out at 197.6 Å³/cell. As for the crystal system: tetragonal. The calculated formation energy is 10.64 eV per formula unit. The total magnetic moment is 4.4 μB per cell.

abc: 7.023 7.023 4.007
angles: 90.00 90.00 90.00
Fractional coordinates of all 5 atoms:
K: 0.000 0.500 0.000
K: 0.500 0.000 0.000
Hf: 0.000 0.000 0.000
Re: 0.500 0.500 0.500
C: 0.000 0.000 0.500